Entry one
4
Lattice="2.773 0.000 0.000 0.000 2.773 0.000 0.000 0.000 7.956" Properties=species:S:1:pos:R:3 comment="PBE TaIrOs2, optimized geometry" magnetic_moment_mub_per_fu=0.0 spacegroup=P4/mmm volume_a3_per_cell=61.16 pbc="T T T"
Ta 0.000 0.000 0.000
Ir 0.000 0.000 3.978
Os 1.386 1.386 2.081
Os 1.386 1.386 5.875

---

Entry two
4
Lattice="3.915 0.000 0.000 0.000 3.915 0.000 0.000 0.000 3.948" Properties=species:S:1:pos:R:3 comment="PBE TaIrOs2, optimized geometry" magnetic_moment_mub_per_fu=0.0 spacegroup=P4/mmm volume_a3_per_cell=60.50 pbc="T T T"
Ta 0.000 0.000 0.000
Ir 1.957 1.957 0.000
Os 0.000 1.957 1.974
Os 1.957 0.000 1.974

---

Which structure is the least stable? The one labeled entry one.

---

Entry one
4
Lattice="2.785 0.000 0.000 0.000 2.785 0.000 0.000 0.000 7.898" Properties=species:S:1:pos:R:3 comment="PBE TaIrOs2, optimized geometry" magnetic_moment_mub_per_fu=0.0 spacegroup=P4mm volume_a3_per_cell=61.26 pbc="T T T"
Ta 0.000 0.000 0.000
Ir 1.393 1.393 2.027
Os 0.000 0.000 3.977
Os 1.393 1.393 5.765

---

Entry two
4
Lattice="2.802 0.000 0.000 0.000 3.859 0.000 0.000 0.000 5.657" Properties=species:S:1:pos:R:3 comment="PBE TaIrOs2, optimized geometry" magnetic_moment_mub_per_fu=0.0 spacegroup=Pmm2 volume_a3_per_cell=61.17 pbc="T T T"
Ta 0.000 0.000 0.000
Ir 1.401 1.929 1.417
Os 0.000 0.000 2.919
Os 1.401 1.929 4.107

---

Entry three
4
Lattice="-1.961 1.961 3.947 1.961 -1.961 3.947 1.961 1.961 -3.947" Properties=species:S:1:pos:R:3 comment="PBE TaIrOs2, optimized geometry" magnetic_moment_mub_per_fu=0.0 spacegroup=I-4m2 volume_a3_per_cell=60.69 pbc="T T T"
Ta 0.000 0.000 0.000
Ir 1.961 0.000 1.973
Os 0.000 0.000 3.947
Os 0.000 1.961 1.973

---

Which structure is the least stable? The one labeled entry one.

---

Entry one
4
Lattice="2.800 0.000 0.000 0.000 3.870 0.000 0.000 0.000 5.648" Properties=species:S:1:pos:R:3 comment="PBE TaIrOs2, optimized geometry" magnetic_moment_mub_per_fu=0.0 spacegroup=Pmmm volume_a3_per_cell=61.21 pbc="T T T"
Ta 0.000 0.000 0.000
Ir 0.000 0.000 2.824
Os 1.400 1.935 1.486
Os 1.400 1.935 4.162

---

Entry two
4
Lattice="0.000 2.777 3.950 2.771 0.000 3.950 2.771 2.777 0.000" Properties=species:S:1:pos:R:3 comment="PBE TaIrOs2, optimized geometry" magnetic_moment_mub_per_fu=0.0 spacegroup=Fmmm volume_a3_per_cell=60.80 pbc="T T T"
Ta 0.000 0.000 0.000
Ir 2.771 2.777 3.950
Os 1.386 1.389 1.975
Os 4.157 4.166 5.925

---

Entry three
8
Lattice="-1.934 1.934 9.080 1.934 -1.934 9.080 1.934 1.934 -9.080" Properties=species:S:1:pos:R:3 comment="PBE TaIrOs2, optimized geometry" magnetic_moment_mub_per_fu=0.0 spacegroup=I-42d volume_a3_per_cell=135.85 pbc="T T T"
Ta 0.000 0.000 0.000
Ta 0.000 1.934 4.540
Ir 1.934 0.000 4.540
Ir 0.000 0.000 9.080
Os 0.967 -0.821 6.810
Os 1.113 0.967 2.270
Os 0.967 2.755 -2.270
Os 0.821 0.967 11.350

---

Entry four
4
Lattice="0.000 3.143 3.143 3.143 0.000 3.143 3.143 3.143 0.000" Properties=species:S:1:pos:R:3 comment="PBE TaIrOs2, optimized geometry" magnetic_moment_mub_per_fu=0.0 spacegroup=Fm-3m volume_a3_per_cell=62.08 pbc="T T T"
Ta 0.000 0.000 0.000
Ir 3.143 3.143 3.143
Os 1.571 1.571 1.571
Os 4.714 4.714 4.714

---

Which structure is the least stable? The one labeled entry three.

---

Entry one
4
Lattice="4.607 -1.407 0.000 4.607 1.407 0.000 -0.853 0.000 4.710" Properties=species:S:1:pos:R:3 comment="PBE TaIrOs2, optimized geometry" magnetic_moment_mub_per_fu=0.0 spacegroup=Cm volume_a3_per_cell=61.07 pbc="T T T"
Ta 0.000 0.000 0.000
Ir 6.726 0.000 1.163
Os 1.651 0.000 3.394
Os 4.200 0.000 2.393

---

Entry two
4
Lattice="2.788 0.000 0.000 0.000 4.678 0.000 -0.167 0.000 4.801" Properties=species:S:1:pos:R:3 comment="PBE TaIrOs2, optimized geometry" magnetic_moment_mub_per_fu=0.0 spacegroup=P2/m volume_a3_per_cell=62.62 pbc="T T T"
Ta 0.000 0.000 0.000
Ir 1.310 0.000 2.400
Os 0.784 2.339 3.601
Os 1.837 2.339 1.200

---

Entry three
4
Lattice="1.383 0.799 9.229 -1.383 0.799 9.229 0.000 -1.597 9.229" Properties=species:S:1:pos:R:3 comment="PBE TaIrOs2, optimized geometry" magnetic_moment_mub_per_fu=0.0 spacegroup=R-3m volume_a3_per_cell=61.15 pbc="T T T"
Ta 0.000 0.000 0.000
Ir 0.000 0.000 13.844
Os 0.000 0.000 6.830
Os 0.000 0.000 20.858

---

Entry four
4
Lattice="1.391 0.803 9.159 -1.391 0.803 9.159 0.000 -1.606 9.159" Properties=species:S:1:pos:R:3 comment="PBE TaIrOs2, optimized geometry" magnetic_moment_mub_per_fu=0.0 spacegroup=R3m volume_a3_per_cell=61.40 pbc="T T T"
Ta 0.000 0.000 0.000
Ir 0.000 0.000 20.631
Os 0.000 0.000 6.724
Os 0.000 0.000 13.733

---

Which structure is the least stable? The one labeled entry two.

---

Entry one
4
Lattice="4.586 -1.399 0.000 4.586 1.399 0.000 -0.869 0.000 4.766" Properties=species:S:1:pos:R:3 comment="PBE TaIrOs2, optimized geometry" magnetic_moment_mub_per_fu=0.0 spacegroup=C2/m volume_a3_per_cell=61.15 pbc="T T T"
Ta 0.000 0.000 0.000
Ir 4.151 0.000 2.383
Os 1.633 0.000 3.489
Os 6.669 0.000 1.277

---

Entry two
4
Lattice="2.786 -3.884 0.000 2.786 3.884 0.000 0.000 0.000 2.812" Properties=species:S:1:pos:R:3 comment="PBE TaIrOs2, optimized geometry" magnetic_moment_mub_per_fu=0.0 spacegroup=Cmmm volume_a3_per_cell=60.86 pbc="T T T"
Ta 0.000 0.000 0.000
Ir 2.786 0.000 0.000
Os 1.393 1.942 1.406
Os 1.393 -1.942 1.406

---

Which structure is the least stable? The one labeled entry two.

---

Entry one
4
Lattice="0.000 3.157 3.157 3.157 0.000 3.157 3.157 3.157 0.000" Properties=species:S:1:pos:R:3 comment="PBE TaIr2Os, optimized geometry" magnetic_moment_mub_per_fu=1.6 spacegroup=Fm-3m volume_a3_per_cell=62.94 pbc="T T T"
Ta 0.000 0.000 0.000
Ir 1.579 1.579 1.579
Ir 4.736 4.736 4.736
Os 3.157 3.157 3.157

---

Entry two
4
Lattice="4.627 -1.408 0.000 4.627 1.408 0.000 -0.876 0.000 4.687" Properties=species:S:1:pos:R:3 comment="PBE TaIr2Os, optimized geometry" magnetic_moment_mub_per_fu=0.0 spacegroup=C2/m volume_a3_per_cell=61.08 pbc="T T T"
Ta 0.000 0.000 0.000
Ir 1.643 0.000 3.471
Ir 6.735 0.000 1.216
Os 4.189 0.000 2.344

---

Which structure is the least stable? The one labeled entry one.